KMn3C4O12 (PBE+U, optimized geometry); final energy = -151.25 eV for the cell shown; ρ = 3.125 g/cm³; density of states at the Fermi level = 5.16 states/eV/cell; size of the total moment = 14.00 μB/cell
1.0
6.333 0.122 0.169
-1.408 6.175 0.169
-1.408 -1.800 5.910
O Mn C K
12 3 4 1
direct
0.500 0.368 0.632 O
0.368 0.632 0.500 O
0.904 0.500 0.096 O
0.997 0.588 0.797 O
0.203 0.412 0.003 O
0.797 0.997 0.588 O
0.412 0.003 0.203 O
0.003 0.203 0.412 O
0.096 0.904 0.500 O
0.632 0.500 0.368 O
0.500 0.096 0.904 O
0.588 0.797 0.997 O
0.539 0.461 0.000 Mn
0.000 0.539 0.461 Mn
0.461 0.000 0.539 Mn
0.961 0.039 0.500 C
0.500 0.961 0.039 C
0.500 0.500 0.500 C
0.039 0.500 0.961 C
0.000 0.000 0.000 K